Record 1
The following is a GGA-PBE calculation of a relaxed structure of TcHIr2Rh, from the Alexandria database.

Properties
Its density of states at the Fermi level is 4.70 states/eV/cell. Its space-group type is P4/mmm, No. 123. Its density is 16.2 Mg/m³. The calculation puts the energy above the most stable polymorph in this dataset at 0 meV/atom. Its crystal system is tetragonal.

Geometry as CIF:
```
data_TcHIr2Rh
_cell_length_a 3.9101
_cell_length_b 3.9101
_cell_length_c 3.9320
_cell_angle_alpha 90.00
_cell_angle_beta 90.00
_cell_angle_gamma 90.00
_space_group_name_H-M_alt 'P 1'
_space_group_IT_number 1
_space_group_name_Hall 'P 1'
loop_
_atom_site_label
_atom_site_type_symbol
_atom_site_fract_x
_atom_site_fract_y
_atom_site_fract_z
Rh1 Rh 0.5000 0.5000 0.5000
Tc1 Tc 0.0000 0.0000 0.5000
H1 H 0.0000 0.0000 0.0000
Ir1 Ir 0.5000 0.0000 0.0000
Ir2 Ir 0.0000 0.5000 0.0000
```

---

Record 2
The following is a GGA-PBE calculation of a relaxed structure of Pm4PrHo2Th, from the Alexandria database.

Properties
Its density of states at the Fermi level is 11.54 states/eV/cell. Its space-group type is P2/m, No. 10. Its density is 7.9 Mg/m³. Its crystal system is monoclinic.

Geometry as CIF:
```
data_Pm4PrHo2Th
_cell_length_a 5.1106
_cell_length_b 5.1027
_cell_length_c 11.4807
_cell_angle_alpha 63.56
_cell_angle_beta 90.00
_cell_angle_gamma 90.00
_space_group_name_H-M_alt 'P 1'
_space_group_IT_number 1
_space_group_name_Hall 'P 1'
loop_
_atom_site_label
_atom_site_type_symbol
_atom_site_fract_x
_atom_site_fract_y
_atom_site_fract_z
Pm1 Pm 0.5000 0.7448 0.2553
Pm2 Pm 0.0000 0.2459 0.2542
Pm3 Pm 0.5000 0.2552 0.7447
Pm4 Pm 0.0000 0.7541 0.7458
Ho1 Ho 0.0000 0.0000 0.0000
Ho2 Ho 0.5000 0.0000 0.5000
Th1 Th 0.0000 0.5000 0.5000
Pr1 Pr 0.5000 0.5000 0.0000
```

---

Record 3
The following is a GGA-PBE calculation of a relaxed structure of Th5Sn4H, from the Alexandria database.

Properties
Its density of states at the Fermi level is 7.31 states/eV/cell. Its space-group type is I4, No. 79. Its density is 8.8 Mg/m³. Its crystal system is tetragonal.

Geometry as CIF:
```
data_Th5Sn4H
_cell_length_a 6.3629
_cell_length_b 7.6709
_cell_length_c 7.6709
_cell_angle_alpha 80.10
_cell_angle_beta 65.50
_cell_angle_gamma 65.50
_space_group_name_H-M_alt 'P 1'
_space_group_IT_number 1
_space_group_name_Hall 'P 1'
loop_
_atom_site_label
_atom_site_type_symbol
_atom_site_fract_x
_atom_site_fract_y
_atom_site_fract_z
Th1 Th 0.1062 0.6090 0.1916
Th2 Th 0.4137 0.0000 0.0000
Th3 Th 0.9069 0.3910 0.8084
Th4 Th 0.2979 0.8084 0.6090
Th5 Th 0.7152 0.1916 0.3910
H1 H 0.0406 0.0000 0.0000
Sn1 Sn 0.6009 0.6067 0.2064
Sn2 Sn 0.2076 0.2064 0.3933
Sn3 Sn 0.8073 0.7936 0.6067
Sn4 Sn 0.4140 0.3933 0.7936
```

---

no.,total energy (eV per cell)
1,-38.42
2,-40.07
3,-59.25